(1)
CePm2Os after structural relaxation, computed with GGA-PBE.

The structure in CIF format:
```
data_CePm2Os
_chemical_formula_sum 'Ce1 Pm2 Os1'
_space_group_name_H-M_alt 'P 1'
_space_group_IT_number 1
_cell_length_a 11.1315
_cell_length_b 11.1315
_cell_length_c 11.1315
_cell_angle_alpha 17.66
_cell_angle_beta 17.66
_cell_angle_gamma 17.66
loop_
_space_group_symop_operation_xyz
'x,y,z'
loop_
_atom_site_label
_atom_site_type_symbol
_atom_site_fract_x
_atom_site_fract_y
_atom_site_fract_z
Ce1 Ce 0.0000 0.0000 0.0000
Pm1 Pm 0.1026 0.1026 0.1026
Pm2 Pm 0.8974 0.8974 0.8974
Os1 Os 0.5000 0.5000 0.5000
```

Summary:
crystal system: trigonal
excess energy over the best structure of this formula in the dataset: 0.555 eV/atom
DOS(E_F): 8.3 states/eV/cell

---

(2)
Ba2AuCl after structural relaxation, computed with GGA-PBE.

The structure in CIF format:
```
data_Ba2AuCl
_chemical_formula_sum 'Ba2 Au1 Cl1'
_space_group_name_H-M_alt 'P 1'
_space_group_IT_number 1
_cell_length_a 8.7445
_cell_length_b 8.7445
_cell_length_c 8.7445
_cell_angle_alpha 151.82
_cell_angle_beta 151.59
_cell_angle_gamma 40.45
loop_
_space_group_symop_operation_xyz
'x,y,z'
loop_
_atom_site_label
_atom_site_type_symbol
_atom_site_fract_x
_atom_site_fract_y
_atom_site_fract_z
Ba1 Ba 0.0000 0.0000 0.0000
Ba2 Ba 0.7406 0.2406 0.5000
Au1 Au 0.1525 0.6525 0.5000
Cl1 Cl 0.4174 0.4174 0.0000
```

Summary:
crystal system: orthorhombic
excess energy over the best structure of this formula in the dataset: 0.118 eV/atom
DOS(E_F): 3.4 states/eV/cell

---

(3)
AlFeOs2Pb after structural relaxation, computed with GGA-PBE.

The structure in CIF format:
```
data_AlFeOs2Pb
_chemical_formula_sum 'Al1 Fe1 Os2 Pb1'
_space_group_name_H-M_alt 'P 1'
_space_group_IT_number 1
_cell_length_a 4.5156
_cell_length_b 4.5156
_cell_length_c 4.7668
_cell_angle_alpha 90.00
_cell_angle_beta 90.00
_cell_angle_gamma 90.00
loop_
_space_group_symop_operation_xyz
'x,y,z'
loop_
_atom_site_label
_atom_site_type_symbol
_atom_site_fract_x
_atom_site_fract_y
_atom_site_fract_z
Al1 Al 0.0000 0.0000 0.0000
Fe1 Fe 0.5000 0.5000 0.5000
Os1 Os 0.0000 0.5000 0.5000
Os2 Os 0.5000 0.0000 0.5000
Pb1 Pb 0.5000 0.5000 0.0000
```

Summary:
crystal system: tetragonal
energy: -6.237 eV per atom
DOS(E_F): 5.0 states/eV/cell

---

(4)
TaAlHg2 after structural relaxation, computed with GGA-PBE.

The structure in CIF format:
```
data_TaAlHg2
_chemical_formula_sum 'Ta2 Al2 Hg4'
_space_group_name_H-M_alt 'P 1'
_space_group_IT_number 1
_cell_length_a 6.0484
_cell_length_b 6.0484
_cell_length_c 6.0484
_cell_angle_alpha 103.22
_cell_angle_beta 103.22
_cell_angle_gamma 122.87
loop_
_space_group_symop_operation_xyz
'x,y,z'
loop_
_atom_site_label
_atom_site_type_symbol
_atom_site_fract_x
_atom_site_fract_y
_atom_site_fract_z
Ta1 Ta 0.0000 0.0000 0.0000
Ta2 Ta 0.7500 0.2500 0.5000
Al1 Al 0.2500 0.7500 0.5000
Al2 Al 0.5000 0.5000 0.0000
Hg1 Hg 0.1449 0.1250 0.5199
Hg2 Hg 0.3750 0.8551 0.9801
Hg3 Hg 0.6051 0.6250 0.4801
Hg4 Hg 0.8750 0.3949 0.0199
```

Summary:
crystal system: tetragonal
energy: -3.526 eV per atom
DOS(E_F): 2.0 states/eV/cell

---

(5)
Cd2TeO after structural relaxation, computed with GGA-PBE.

The structure in CIF format:
```
data_Cd2TeO
_chemical_formula_sum 'Cd2 Te1 O1'
_space_group_name_H-M_alt 'P 1'
_space_group_IT_number 1
_cell_length_a 4.0597
_cell_length_b 4.0597
_cell_length_c 7.4913
_cell_angle_alpha 105.83
_cell_angle_beta 105.83
_cell_angle_gamma 59.93
loop_
_space_group_symop_operation_xyz
'x,y,z'
loop_
_atom_site_label
_atom_site_type_symbol
_atom_site_fract_x
_atom_site_fract_y
_atom_site_fract_z
Cd1 Cd 0.0000 0.0000 0.0000
Cd2 Cd 0.5399 0.5399 0.6219
Te1 Te 0.1352 0.1352 0.4080
O1 O 0.6431 0.6431 0.9294
```

Summary:
crystal system: monoclinic
excess energy over the best structure of this formula in the dataset: 0.147 eV/atom
DOS(E_F): 0.9 states/eV/cell

---

(6)
PmSmTm14 after structural relaxation, computed with GGA-PBE.

The structure in CIF format:
```
data_PmSmTm14
_chemical_formula_sum 'Pm1 Sm1 Tm14'
_space_group_name_H-M_alt 'P 1'
_space_group_IT_number 1
_cell_length_a 11.0063
_cell_length_b 6.8659
_cell_length_c 6.8659
_cell_angle_alpha 71.22
_cell_angle_beta 90.00
_cell_angle_gamma 90.00
loop_
_space_group_symop_operation_xyz
'x,y,z'
loop_
_atom_site_label
_atom_site_type_symbol
_atom_site_fract_x
_atom_site_fract_y
_atom_site_fract_z
Pm1 Pm 0.0000 0.0000 0.0000
Sm1 Sm 0.0000 0.4468 0.4468
Tm1 Tm 0.0000 0.5167 0.9284
Tm2 Tm 0.0000 0.9284 0.5167
Tm3 Tm 0.2370 0.2024 0.2024
Tm4 Tm 0.2529 0.1371 0.7149
Tm5 Tm 0.2529 0.7149 0.1371
Tm6 Tm 0.2680 0.6506 0.6506
Tm7 Tm 0.5000 0.3400 0.9270
Tm8 Tm 0.5000 0.4051 0.4051
Tm9 Tm 0.5000 0.8562 0.8562
Tm10 Tm 0.5000 0.9270 0.3400
Tm11 Tm 0.7320 0.6506 0.6506
Tm12 Tm 0.7471 0.1371 0.7149
Tm13 Tm 0.7471 0.7149 0.1371
Tm14 Tm 0.7630 0.2024 0.2024
```

Summary:
crystal system: orthorhombic
energy: -4.444 eV per atom
DOS(E_F): 28.6 states/eV/cell